1.
HoRe4Mo after structural relaxation. Source: the Alexandria database, functional GGA-PBE.

Unit cell a=5.2725 b=5.2725 c=5.2725 alpha=60.00 beta=60.00 gamma=60.00
Closest atoms and distances in Å follow each position.
Element x y z (fractional)
Ho 0.0000 0.0000 0.0000  12 Re 3.09, 4 Mo 3.23
Re 0.3745 0.3745 0.3745  6 Re 2.63-2.65
Re 0.3745 0.3745 0.8764  6 Re 2.63-2.65
Re 0.3745 0.8764 0.3745  6 Re 2.63-2.65
Re 0.8764 0.3745 0.3745  6 Re 2.63-2.65
Mo 0.7500 0.7500 0.7500  12 Re 3.09, 4 Ho 3.23

Calculated values
Its space-group type is F-43m (216). The formation energy comes out at 0.09 eV/atom.

***

2.
Ho2ReMo3 after structural relaxation. Source: the Alexandria database, functional GGA-PBE.

Unit cell a=5.4732 b=5.4732 c=5.4732 alpha=60.17 beta=60.17 gamma=60.17
Closest atoms and distances in Å follow each position.
Element x y z (fractional)
Ho 0.1257 0.1257 0.1257  9 Mo 3.20-3.22, 3 Re 3.22, 4 Ho 3.35-3.37
Ho 0.8743 0.8743 0.8743  9 Mo 3.20-3.22, 3 Re 3.22, 4 Ho 3.35-3.37
Re 0.5000 0.5000 0.5000  6 Mo 2.74
Mo 0.0000 0.5000 0.5000  2 Re 2.74, 4 Mo 2.74
Mo 0.5000 0.0000 0.5000  2 Re 2.74, 4 Mo 2.74
Mo 0.5000 0.5000 0.0000  2 Re 2.74, 4 Mo 2.74

Calculated values
Its space-group type is R-3m (166). The formation energy comes out at -0.02 eV/atom.

***

3.
HoMoRu2 after structural relaxation. Source: the Alexandria database, functional GGA-PBE.

Unit cell a=4.5687 b=4.5687 c=4.5687 alpha=60.00 beta=60.00 gamma=60.00
Closest atoms and distances in Å follow each position.
Element x y z (fractional)
Ho 0.0000 0.0000 0.0000  8 Ru 2.80
Mo 0.5000 0.5000 0.5000  8 Ru 2.80
Ru 0.2500 0.2500 0.2500  4 Mo 2.80, 4 Ho 2.80
Ru 0.7500 0.7500 0.7500  4 Ho 2.80, 4 Mo 2.80

Calculated values
Its space-group type is Fm-3m (225). The formation energy comes out at -0.01 eV/atom. The offset from the most stable computed form comes out at 67 meV/atom.

***

4.
HoMoRu2 after structural relaxation. Source: the Alexandria database, functional GGA-PBE.

Unit cell a=3.1245 b=3.1245 c=7.0753 alpha=90.00 beta=90.00 gamma=90.00
Closest atoms and distances in Å follow each position.
Element x y z (fractional)
Ho 0.0000 0.0000 0.0000  8 Ru 3.01, 4 Ho 3.12
Mo 0.0000 0.0000 0.5000  8 Ru 2.67
Ru 0.5000 0.5000 0.2879  4 Mo 2.67
Ru 0.5000 0.5000 0.7121  4 Mo 2.67

Calculated values
Its space-group type is P4/mmm (123). The formation energy comes out at -0.08 eV/atom. The offset from the most stable computed form comes out at 0 meV/atom.

***

5.
HoSi2MoRu after structural relaxation. Source: the Alexandria database, functional GGA-PBE.

Unit cell a=5.9088 b=5.9088 c=5.9088 alpha=139.41 beta=139.41 gamma=58.75
Closest atoms and distances in Å follow each position.
Element x y z (fractional)
Ho 0.0000 0.0000 0.0000  8 Si 3.14, 4 Mo 3.29, 4 Ru 3.29
Si 0.3821 0.3821 0.0000  1 Si 2.43, 2 Mo 2.46, 2 Ru 2.46
Si 0.6179 0.6179 0.0000  1 Si 2.43, 2 Mo 2.46, 2 Ru 2.46
Mo 0.7500 0.2500 0.5000  4 Si 2.46
Ru 0.2500 0.7500 0.5000  4 Si 2.46

Calculated values
Its space-group type is I-4m2 (119). For the formation energy without anion corrections, the calculation gives -0.596 eV/atom.

***

6.
HoMoS2 after structural relaxation. Source: the Alexandria database, functional GGA-PBE.

Unit cell a=8.6826 b=8.6826 c=8.6826 alpha=22.39 beta=22.39 gamma=22.39
Closest atoms and distances in Å follow each position.
Element x y z (fractional)
Ho 0.0000 0.0000 0.0000  2 S 2.70
Mo 0.5000 0.5000 0.5000  6 S 2.48
S 0.1063 0.1063 0.1063  3 Mo 2.48, 1 Ho 2.70
S 0.8937 0.8937 0.8937  3 Mo 2.48, 1 Ho 2.70

Calculated values
Its space-group type is R-3m (166). For the formation energy without anion corrections, the calculation gives -0.524 eV/atom.

***

7.
HoMoS after structural relaxation. Source: the Alexandria database, functional GGA-PBE.

Unit cell a=3.6391 b=3.6391 c=8.7513 alpha=90.00 beta=90.00 gamma=90.00
Closest atoms and distances in Å follow each position.
Element x y z (fractional)
Ho 0.2500 0.2500 0.2020  4 S 2.63
Ho 0.7500 0.7500 0.7980  4 S 2.63
Mo 0.2500 0.2500 0.5682  1 S 2.56, 4 Mo 2.84
Mo 0.7500 0.7500 0.4318  1 S 2.56, 4 Mo 2.84
S 0.2500 0.2500 0.8605  1 Mo 2.56, 4 Ho 2.63
S 0.7500 0.7500 0.1395  1 Mo 2.56, 4 Ho 2.63

Calculated values
Its space-group type is P4/nmm (129). For the formation energy without anion corrections, the calculation gives -0.972 eV/atom.

***

8.
HoSbMo after structural relaxation. Source: the Alexandria database, functional GGA-PBE.

Unit cell a=4.1628 b=4.1628 c=7.7038 alpha=90.00 beta=90.00 gamma=90.00
Closest atoms and distances in Å follow each position.
Element x y z (fractional)
Ho 0.2500 0.2500 0.1559  5 Sb 3.04-3.15, 4 Mo 3.37
Ho 0.7500 0.7500 0.8441  5 Sb 3.04-3.15, 4 Mo 3.37
Sb 0.2500 0.2500 0.7471  4 Mo 2.82, 5 Ho 3.04-3.15
Sb 0.7500 0.7500 0.2529  4 Mo 2.82, 5 Ho 3.04-3.15
Mo 0.2500 0.7500 0.5000  4 Sb 2.82, 4 Mo 2.94
Mo 0.7500 0.2500 0.5000  4 Sb 2.82, 4 Mo 2.94

Calculated values
Its space-group type is P4/nmm (129). For the formation energy without anion corrections, the calculation gives -0.377 eV/atom.

***

Let's list magnetization in order: 0.000, 0.000, 0.000, 0.002, 0.255, 0.000, 0.000, 0.003 μB per atom.